Entry from Alexandria via LeMat-Bulk: PaInPb2 after structural relaxation (PBE).

## Properties
* distance to the lowest polymorph of the same formula: 0 meV per atom
* crystal system: tetragonal
* raw total energy: -4.971 eV/atom
* DOS at the Fermi energy: 1.149 states/eV per atom
* space-group type: P4/mmm (123)

Lattice parameters (Å, degrees): 4.831 4.831 4.596 90.00 90.00 90.00
Element x y z (fractional)
Pa (0.000, 0.000, 0.000)
In (0.500, 0.500, 0.000)
Pb (0.000, 0.500, 0.500)
Pb (0.500, 0.000, 0.500)